# SrAs2PBr

Crystalline SrAs2PBr at its relaxed geometry (PBE-GGA, Alexandria).

Properties
**VASP energy**: -3.885 eV per atom
**Crystal system**: tetragonal
**Raw formation energy**: -0.272 eV per atom

a b c (Å): 4.7564 4.7564 5.7927
angles (deg): 90.00 90.00 90.00
Sites, in units of the cell vectors:
As  0.5000  0.0000  0.0000
As  0.0000  0.5000  0.0000
P  0.0000  0.0000  0.0000
Br  0.0000  0.0000  0.5000
Sr  0.5000  0.5000  0.5000

# CaInF5

Crystalline CaInF5 at its relaxed geometry (PBE-GGA, Alexandria).

Properties
**VASP energy**: -5.108 eV per atom
**Crystal system**: orthorhombic
**Raw formation energy**: -3.094 eV per atom

a b c (Å): 4.1406 5.8578 5.8578
angles (deg): 72.22 69.30 69.30
Sites, in units of the cell vectors:
In  0.0000  0.0000  0.0000
F  0.7566  0.2433  0.2433
F  0.0000  0.6925  0.3075
F  0.5000  0.0000  0.0000
F  0.0000  0.3075  0.6925
F  0.2434  0.7567  0.7567
Ca  0.5000  0.5000  0.5000

# Sn3TeCl

Crystalline Sn3TeCl at its relaxed geometry (PBE-GGA, Alexandria).

Properties
**VASP energy**: -2.943 eV per atom
**Crystal system**: cubic
**Raw formation energy**: 0.456 eV per atom

a b c (Å): 5.9601 5.9601 5.9601
angles (deg): 90.00 90.00 90.00
Sites, in units of the cell vectors:
Sn  0.0000  0.0000  0.5000
Sn  0.5000  0.0000  0.0000
Sn  0.0000  0.5000  0.0000
Te  0.0000  0.0000  0.0000
Cl  0.5000  0.5000  0.5000

# Hf2Zr2Ru

Crystalline Hf2Zr2Ru at its relaxed geometry (PBE-GGA, Alexandria).

Properties
**VASP energy**: -9.215 eV per atom
**DFT formation energy**: 41 meV/atom
**Crystal system**: tetragonal

a b c (Å): 6.6897 6.6897 4.9060
angles (deg): 90.00 90.00 90.00
Sites, in units of the cell vectors:
Hf  0.3419  0.1581  0.5000
Hf  0.1581  0.6581  0.5000
Hf  0.8419  0.3419  0.5000
Hf  0.6581  0.8419  0.5000
Ru  0.0000  0.0000  0.0000
Ru  0.5000  0.5000  0.0000
Zr  0.6537  0.1537  0.0000
Zr  0.1537  0.3463  0.0000
Zr  0.3463  0.8463  0.0000
Zr  0.8463  0.6537  0.0000

# InBi2Ir

Crystalline InBi2Ir at its relaxed geometry (PBE-GGA, Alexandria).

Properties
**VASP energy**: -4.468 eV per atom
**DFT formation energy**: 372 meV/atom
**Crystal system**: tetragonal

a b c (Å): 6.6366 6.6366 7.9166
angles (deg): 65.22 65.22 90.00
Sites, in units of the cell vectors:
Bi  0.6792  0.1250  0.2500
Bi  0.0708  0.6250  0.2500
Bi  0.8750  0.9292  0.7500
Bi  0.3750  0.3208  0.7500
Ir  0.7500  0.2500  0.5000
Ir  0.0000  0.0000  0.0000
In  0.5000  0.5000  0.0000
In  0.2500  0.7500  0.5000

# KRbOsAu2

Crystalline KRbOsAu2 at its relaxed geometry (PBE-GGA, Alexandria).

Properties
**VASP energy**: -2.418 eV per atom
**DFT formation energy**: 1552 meV/atom
**Crystal system**: tetragonal

a b c (Å): 6.0346 5.9146 6.0346
angles (deg): 90.00 90.00 90.00
Last column: magnetic moment on the atom in μB.
Sites, in units of the cell vectors:
K  0.0000  0.0000  0.0000  0.02
Au  0.0000  0.0000  0.5000  0.12
Au  0.5000  0.0000  0.0000  0.10
Rb  0.5000  0.5000  0.5000  0.00
Os  0.0000  0.5000  0.0000  3.08

# Tl2HgBr2

Crystalline Tl2HgBr2 at its relaxed geometry (PBE-GGA, Alexandria).

Properties
**VASP energy**: -2.276 eV per atom
**Crystal system**: tetragonal
**Raw formation energy**: -0.600 eV per atom

a b c (Å): 5.7126 5.7126 7.7764
angles (deg): 68.45 68.45 90.00
Sites, in units of the cell vectors:
Tl  0.3558  0.3558  0.2885
Tl  0.6442  0.6442  0.7115
Hg  0.0000  0.0000  0.0000
Br  0.2500  0.7500  0.5000
Br  0.7500  0.2500  0.5000

# DyTm12Th6

Crystalline DyTm12Th6 at its relaxed geometry (PBE-GGA, Alexandria).

Properties
**VASP energy**: -5.108 eV per atom
**DFT formation energy**: 301 meV/atom
**Crystal system**: cubic

a b c (Å): 9.2358 9.2358 9.2358
angles (deg): 109.47 109.47 109.47
Sites, in units of the cell vectors:
Tm  0.4487  0.1883  0.2604
Tm  0.8117  0.7396  0.5513
Tm  0.8117  0.2604  0.0722
Tm  0.7396  0.5513  0.8117
Tm  0.1883  0.7396  0.9278
Tm  0.1883  0.2604  0.4487
Tm  0.2604  0.0722  0.8117
Tm  0.2604  0.4487  0.1883
Tm  0.7396  0.9278  0.1883
Tm  0.9278  0.1883  0.7396
Tm  0.5513  0.8117  0.7396
Tm  0.0722  0.8117  0.2604
Th  0.5000  0.1451  0.6451
Th  0.1451  0.6451  0.5000
Th  0.6451  0.5000  0.1451
Th  0.3549  0.5000  0.8549
Th  0.8549  0.3549  0.5000
Th  0.5000  0.8549  0.3549
Dy  0.0000  0.0000  0.0000

# CaPa3Se8

Crystalline CaPa3Se8 at its relaxed geometry (PBE-GGA, Alexandria).

Properties
**VASP energy**: -6.275 eV per atom
**Crystal system**: hexagonal
**Raw formation energy**: -1.411 eV per atom

a b c (Å): 8.4129 8.4129 12.9199
angles (deg): 90.00 90.00 120.00
Last column: magnetic moment on the atom in μB.
Sites, in units of the cell vectors:
Se  0.8434  0.1566  0.1003  -0.02
Se  0.6667  0.3333  0.5971  -0.02
Se  0.9769  0.4884  0.8325  -0.02
Se  0.0000  0.0000  0.3304  -0.02
Se  0.4884  0.9769  0.3325  -0.02
Se  0.3333  0.6667  0.0971  -0.02
Se  0.0000  0.0000  0.8304  -0.02
Se  0.5116  0.4884  0.8325  -0.02
Se  0.8434  0.6869  0.1003  -0.02
Se  0.3131  0.1566  0.1003  -0.02
Se  0.1566  0.8434  0.6003  -0.02
Se  0.6869  0.8434  0.6003  -0.02
Se  0.4884  0.5116  0.3325  -0.02
Se  0.1566  0.3131  0.6003  -0.02
Se  0.0231  0.5116  0.3325  -0.02
Se  0.5116  0.0231  0.8325  -0.02
Pa  0.1673  0.8327  0.2154  0.41
Pa  0.6655  0.8327  0.2154  0.41
Pa  0.1673  0.3345  0.2154  0.41
Pa  0.3345  0.1673  0.7154  0.41
Pa  0.8327  0.1673  0.7154  0.41
Pa  0.8327  0.6655  0.7154  0.41
Ca  0.3333  0.6667  0.4847  0.00
Ca  0.6667  0.3333  0.9847  0.00

# Rb2OsCI

Crystalline Rb2OsCI at its relaxed geometry (PBE-GGA, Alexandria).

Properties
**VASP energy**: -3.055 eV per atom
**Crystal system**: tetragonal
**Raw formation energy**: 1.733 eV per atom

a b c (Å): 6.6789 4.9339 6.6789
angles (deg): 90.00 90.00 90.00
Last column: magnetic moment on the atom in μB.
Sites, in units of the cell vectors:
Os  0.0000  0.0000  0.0000  0.71
Rb  0.5000  0.0000  0.0000  0.02
Rb  0.0000  0.0000  0.5000  0.01
I  0.0000  0.5000  0.0000  0.01
C  0.5000  0.5000  0.5000  1.13

# RhS2ClO

Crystalline RhS2ClO at its relaxed geometry (PBE-GGA, Alexandria).

Properties
**VASP energy**: -3.548 eV per atom
**Crystal system**: tetragonal
**Raw formation energy**: 0.934 eV per atom

a b c (Å): 4.5529 4.5529 4.7850
angles (deg): 90.00 90.00 90.00
Sites, in units of the cell vectors:
Rh  0.0000  0.0000  0.0000
S  0.0000  0.5000  0.0000
S  0.5000  0.0000  0.0000
Cl  0.0000  0.0000  0.5000
O  0.5000  0.5000  0.5000

Number 1: N(E_F) 1.83 states/eV per cell. Number 2: N(E_F) 0.00 states/eV per cell. Number 3: N(E_F) 5.31 states/eV per cell. Number 4: N(E_F) 10.50 states/eV per cell. Number 5: N(E_F) 5.08 states/eV per cell. Number 6: N(E_F) 4.43 states/eV per cell. Number 7: N(E_F) 0.00 states/eV per cell. Number 8: N(E_F) 30.08 states/eV per cell. Number 9: N(E_F) 16.43 states/eV per cell. Number 10: N(E_F) 5.80 states/eV per cell. Number 11: N(E_F) 8.12 states/eV per cell.